This record from the Alexandria database describes an optimized crystal structure of Cd3AsO. The functional is PBE.

V = 28.157 Å³/atom
Density of states at the Fermi level = 0.68 states/eV/atom
Energy relative to the lowest polymorph listed for this composition = 849 meV per atom
Formation energy from raw total energies = 525 meV/atom

Lattice parameters (Å, degrees): 5.2022 5.2022 5.2022 90.00 90.00 90.00
With the nearest neighbours (Å) after each atom.
Positions (direct):
Cd1 0.0000 0.0000 0.5000  2 As 2.60
Cd2 0.0000 0.5000 0.0000  2 As 2.60
Cd3 0.5000 0.0000 0.0000  2 As 2.60
As1 0.0000 0.0000 0.0000  6 Cd 2.60
O1 0.5000 0.5000 0.5000  12 Cd 3.68